CsPrNd4S8, optimized geometry, DFT PBE; space group = R3m (160); DOS at the Fermi energy = 0.0 states/eV per cell; formation energy (no corrections) = -25.9 eV/f.u.; M_tot = 0.00 μB per cell
1.0
4.2987 2.4818 7.0655
-4.2987 2.4818 7.0655
0.0000 -4.9637 7.0655
Cs Pr Nd S
1 1 4 8
Direct
0.0000 0.0000 0.0000
0.6307 0.6307 0.6307
0.1146 0.6303 0.6303
0.2517 0.2517 0.2517
0.6303 0.1146 0.6303
0.6303 0.6303 0.1146
0.3833 0.3833 0.3833
0.3830 0.3830 0.8564
0.3830 0.8564 0.3830
0.4385 0.8572 0.8572
0.8551 0.8551 0.8551
0.8564 0.3830 0.3830
0.8572 0.4385 0.8572
0.8572 0.8572 0.4385